A plane-wave DFT calculation with PBE was carried out for a relaxed structure of YAlPd.

## Properties
Total magnetic moment = 0.00 μB per cell
Crystal system = monoclinic
Energy of formation from the pure elements = -867 meV per atom
Mass density = 6.10 Mg/m³

Geometry as CIF:
```
data_YAlPd
_chemical_formula_sum 'Y6 Al6 Pd6'
_symmetry_space_group_name_H-M 'P 1 21/m 1'
_symmetry_Int_Tables_number 11
_cell_length_a 7.0723
_cell_length_b 4.2947
_cell_length_c 11.9521
_cell_angle_alpha 90.00
_cell_angle_beta 91.39
_cell_angle_gamma 90.00
loop_
_symmetry_equiv_pos_as_xyz
'x,y,z'
'-x,-y,-z'
'-x,y+1/2,-z'
'x,-y+1/2,z'
loop_
_atom_site_label
_atom_site_type_symbol
_atom_site_fract_x
_atom_site_fract_y
_atom_site_fract_z
Y1 Y 0.0266 0.2500 0.3734
Y2 Y 0.1545 0.2500 0.0809
Y3 Y 0.4693 0.7500 0.7086
Al1 Al 0.1429 0.2500 0.7981
Al2 Al 0.3510 0.7500 0.4569
Al3 Al 0.4960 0.7500 0.0835
Pd1 Pd 0.2380 0.7500 0.2439
Pd2 Pd 0.2712 0.7500 0.9090
Pd3 Pd 0.2754 0.2500 0.5736
```

A plane-wave DFT calculation with PBE was carried out for a relaxed structure of Y2AlPd.

## Properties
Total magnetic moment = 0.00 μB per cell
Crystal system = trigonal
Energy of formation from the pure elements = -518 meV per atom
Mass density = 5.26 Mg/m³

Geometry as CIF:
```
data_Y2AlPd
_chemical_formula_sum 'Y6 Al3 Pd3'
_symmetry_space_group_name_H-M 'R 3 m'
_symmetry_Int_Tables_number 160
_symmetry_space_group_name_Hall 'R 3 -2"'
_cell_length_a 4.5111
_cell_length_b 4.5111
_cell_length_c 16.7313
_cell_angle_alpha 90.00
_cell_angle_beta 90.00
_cell_angle_gamma 120.00
loop_
_atom_site_label
_atom_site_type_symbol
_atom_site_fract_x
_atom_site_fract_y
_atom_site_fract_z
Y1 Y 0.0000 0.0000 0.0000
Y2 Y 0.0000 0.0000 0.1930
Al1 Al 0.0000 0.0000 0.4216
Pd1 Pd 0.0000 0.0000 0.7723
```

Q: The lowest mass density belongs to which entry?
A: Y2AlPd

Q: energy of formation from the pure elements of number 2 (Y2AlPd)?
A: -518 meV per atom

Q: Which value of mass density does entry 2 give?
A: 5.26 Mg/m³